1.
VASP calculation (PBE-GGA) on NbHCl2 after structural relaxation.

Cell: 5.331 5.331 8.942 Å, 90.00 90.00 90.00°
Space group I-42d (No. 122)
Symmetry-distinct sites (fractional):
1 Nb 0.000 0.000 0.000
2 H 0.000 0.000 0.500
3 Cl 0.176 0.250 0.625

---

2.
VASP calculation (PBE-GGA) on HfTaFe2 after structural relaxation.

Computed properties:
DFT formation energy (meV/atom): 781

Cell: 2.796 4.878 10.028 Å, 90.00 90.00 90.00°
Space group Immm (No. 71)
Symmetry-distinct sites (fractional):
1 Hf 0.000 0.000 0.000
2 Ta 0.000 0.000 0.500
3 Fe 0.000 0.000 0.257

---

3.
VASP calculation (PBE-GGA) on Sm5Tl2Ir after structural relaxation.

Computed properties:
ΔE to the lowest computed polymorph (eV/atom): 0.000
DFT formation energy (meV/atom): -448

Cell: 7.864 12.426 4.797 Å, 90.00 90.00 90.00°
Space group Pbam (No. 55)
Symmetry-distinct sites (fractional):
1 Sm 0.000 0.000 0.000
2 Sm 0.137 0.296 0.000
3 Sm 0.182 0.572 0.500
4 Tl 0.077 0.832 0.500
5 Ir 0.000 0.500 0.000

---

4.
VASP calculation (PBE-GGA) on Na2TlPb after structural relaxation.

Computed properties:
DFT formation energy (meV/atom): -102

Cell: 3.501 4.543 7.146 Å, 90.00 90.80 90.00°
Space group P2/m (No. 10)
Symmetry-distinct sites (fractional):
1 Na 0.000 0.000 0.249
2 Tl 0.500 0.500 0.500
3 Pb 0.500 0.500 0.000

---

Uncorrected energy per entry: -15.9; -35.6; -40.8; -9.1 eV/f.u.